[1]
The following is a PBE-GGA calculation of a relaxed Na2Sb2Cl crystal, from Alexandria via LeMat-Bulk.

Results
Its space group is P4/mbm, No. 127. The calculation puts the magnetic moment at 0.00 μB/f.u. The energy comes out at -3.04 eV per atom.

a = 7.996 Å, b = 7.996 Å, c = 4.868 Å
α = 90.00°, β = 90.00°, γ = 90.00°
Positions (direct):
Na1 0.812 0.688 0.000
Na2 0.688 0.188 0.000
Na3 0.188 0.312 0.000
Na4 0.312 0.812 0.000
Sb1 0.116 0.616 0.500
Sb2 0.616 0.884 0.500
Sb3 0.384 0.116 0.500
Sb4 0.884 0.384 0.500
Cl1 0.500 0.500 0.000
Cl2 0.000 0.000 0.000

---

[2]
The following is a PBE-GGA calculation of a relaxed NaSbCl4 crystal, from Alexandria via LeMat-Bulk.

Results
Its space group is C2/m, No. 12. The calculation puts the magnetic moment at 0.00 μB/f.u. The energy comes out at -3.28 eV per atom.

a = 5.425 Å, b = 8.963 Å, c = 9.358 Å
α = 109.00°, β = 90.00°, γ = 107.62°
Positions (direct):
Cl1 0.111 0.222 0.032
Cl2 0.287 0.573 0.678
Cl3 0.889 0.778 0.968
Cl4 0.335 0.669 0.234
Cl5 0.713 0.427 0.322
Cl6 0.063 0.126 0.379
Cl7 0.665 0.331 0.766
Cl8 0.937 0.874 0.621
Sb1 0.805 0.610 0.707
Sb2 0.195 0.390 0.293
Na1 0.888 0.777 0.299
Na2 0.112 0.223 0.701

---

[3]
The following is a PBE-GGA calculation of a relaxed Na2Sb2Cl7 crystal, from Alexandria via LeMat-Bulk.

Results
Its space group is C2/m, No. 12. The calculation puts the magnetic moment at 0.00 μB/f.u. The energy comes out at -3.22 eV per atom.

a = 7.326 Å, b = 7.093 Å, c = 7.093 Å
α = 106.18°, β = 94.99°, γ = 94.99°
Positions (direct):
Cl1 0.817 0.346 0.346
Cl2 0.750 0.544 0.912
Cl3 0.183 0.654 0.654
Cl4 0.250 0.088 0.456
Cl5 0.750 0.912 0.544
Cl6 0.500 0.000 0.000
Cl7 0.250 0.456 0.088
Na1 0.000 0.697 0.303
Na2 0.000 0.303 0.697
Sb1 0.544 0.696 0.696
Sb2 0.456 0.304 0.304

---

[4]
The following is a PBE-GGA calculation of a relaxed NaSbCl4 crystal, from Alexandria via LeMat-Bulk.

Results
Its space group is I4_1/amd, No. 141. The calculation puts the magnetic moment at 0.00 μB/f.u. The energy comes out at -3.18 eV per atom.

a = 8.098 Å, b = 8.099 Å, c = 8.098 Å
α = 72.02°, β = 72.03°, γ = 112.51°
Positions (direct):
Cl1 0.363 0.313 0.450
Cl2 0.763 0.313 0.050
Cl3 0.237 0.687 0.950
Cl4 0.637 0.687 0.550
Cl5 0.813 0.863 0.950
Cl6 0.187 0.137 0.050
Cl7 0.813 0.263 0.550
Cl8 0.187 0.737 0.450
Sb1 0.375 0.125 0.250
Sb2 0.625 0.875 0.750
Na1 0.875 0.625 0.250
Na2 0.125 0.375 0.750